TbSm4Dy2Tm2 | PBE-GGA | relaxed

Output
- calculated volume (Å³/cell) = 289.4
- calculated total energy (Ry/atom) = -0.3387
- spin magnetization (μB per formula unit) = 0.0

Unit cell a=7.9878 b=7.9878 c=7.9830 alpha=107.45 beta=107.45 gamma=36.78
Last column: nearest neighbours and their distance in Å.
Atoms (fractional coordinates):
Tb: 0.0000 0.0000 0.0000  6 Sm 3.56-3.57, 2 Dy 3.56, 4 Tm 3.58
Sm: 0.2226 0.2226 0.3317  3 Tm 3.55-3.56, 3 Dy 3.56-3.60, 1 Tb 3.57, 5 Sm 3.58-3.59
Sm: 0.4455 0.4455 0.6689  2 Tb 3.56, 4 Dy 3.56-3.59, 2 Tm 3.56-3.58, 4 Sm 3.58-3.59
Sm: 0.5545 0.5545 0.3311  2 Tb 3.56, 4 Dy 3.56-3.59, 2 Tm 3.56-3.58, 4 Sm 3.58-3.59
Sm: 0.7774 0.7774 0.6683  3 Tm 3.55-3.56, 3 Dy 3.56-3.60, 1 Tb 3.57, 5 Sm 3.58-3.59
Dy: 0.1114 0.1114 0.6686  3 Tm 3.55-3.56, 1 Tb 3.56, 7 Sm 3.56-3.60, 1 Dy 3.59
Dy: 0.8886 0.8886 0.3314  3 Tm 3.55-3.56, 1 Tb 3.56, 7 Sm 3.56-3.60, 1 Dy 3.59
Tm: 0.3325 0.3325 0.0001  5 Sm 3.55-3.58, 2 Tm 3.55, 3 Dy 3.55-3.56, 2 Tb 3.58
Tm: 0.6675 0.6675 0.9999  5 Sm 3.55-3.58, 2 Tm 3.55, 3 Dy 3.55-3.56, 2 Tb 3.58

***

TbSm2DyTm | PBE-GGA | relaxed

Output
- calculated volume (Å³/cell) = 348.2
- calculated total energy (Ry/atom) = -0.3103
- spin magnetization (μB per formula unit) = 0.0

Unit cell a=7.1076 b=7.1076 c=7.2300 alpha=90.00 beta=90.00 gamma=107.57
Last column: nearest neighbours and their distance in Å.
Atoms (fractional coordinates):
Tb: 0.2258 0.7742 0.7500  1 Tm 3.12
Tb: 0.7742 0.2258 0.2500  1 Tm 3.12
Sm: 0.1936 0.1936 0.0000  2 Tm 3.15, 1 Sm 3.25
Sm: 0.1936 0.1936 0.5000  2 Tm 3.15, 1 Sm 3.25
Sm: 0.8064 0.8064 0.0000  2 Tm 3.15, 1 Sm 3.25
Sm: 0.8064 0.8064 0.5000  2 Tm 3.15, 1 Sm 3.25
Dy: 0.2284 0.7716 0.2500  1 Tm 3.14
Dy: 0.7716 0.2284 0.7500  1 Tm 3.14
Tm: 0.4974 0.5026 0.7500  1 Tb 3.12, 1 Dy 3.14, 4 Sm 3.15
Tm: 0.5026 0.4974 0.2500  1 Tb 3.12, 1 Dy 3.14, 4 Sm 3.15

***

TbSm2Dy4Tm2 | PBE-GGA | relaxed

Output
- calculated volume (Å³/cell) = 285.8
- calculated total energy (Ry/atom) = -0.3376
- spin magnetization (μB per formula unit) = 0.0

Unit cell a=9.4667 b=9.4667 c=9.5180 alpha=115.22 beta=115.22 gamma=21.83
Last column: nearest neighbours and their distance in Å.
Atoms (fractional coordinates):
Tb: 0.0000 0.0000 0.0000  6 Dy 3.51-3.52, 4 Tm 3.58, 2 Tb 3.59
Sm: 0.1481 0.1481 0.6672  3 Tm 3.51-3.53, 7 Dy 3.54-3.58, 2 Sm 3.59
Sm: 0.8519 0.8519 0.3328  3 Tm 3.51-3.53, 7 Dy 3.54-3.58, 2 Sm 3.59
Dy: 0.1849 0.1849 0.3324  2 Tm 3.51, 1 Tb 3.52, 3 Sm 3.54-3.58, 6 Dy 3.54-3.59
Dy: 0.4814 0.4814 0.6687  2 Tb 3.51, 1 Tm 3.53, 4 Sm 3.54-3.58, 5 Dy 3.57-3.59
Dy: 0.5186 0.5186 0.3313  2 Tb 3.51, 1 Tm 3.53, 4 Sm 3.54-3.58, 5 Dy 3.57-3.59
Dy: 0.8151 0.8151 0.6676  2 Tm 3.51, 1 Tb 3.52, 3 Sm 3.54-3.58, 6 Dy 3.54-3.59
Tm: 0.3330 0.3330 0.9984  3 Dy 3.51-3.53, 3 Sm 3.51-3.53, 2 Tb 3.58, 4 Tm 3.58-3.59
Tm: 0.6670 0.6670 0.0016  3 Dy 3.51-3.53, 3 Sm 3.51-3.53, 2 Tb 3.58, 4 Tm 3.58-3.59

***

Tb2Sm2DyTm2 | PBE-GGA | relaxed

Output
- calculated volume (Å³/cell) = 229.6
- calculated total energy (Ry/atom) = -0.3279
- spin magnetization (μB per formula unit) = 0.0

Unit cell a=8.9583 b=8.9583 c=8.4231 alpha=116.61 beta=116.61 gamma=22.44
Last column: nearest neighbours and their distance in Å.
Atoms (fractional coordinates):
Tb: 0.0706 0.0706 0.4059  3 Tm 3.46-3.49, 3 Tb 3.49-3.50, 2 Sm 3.50-3.65, 2 Dy 3.52
Tb: 0.9294 0.9294 0.5941  3 Tm 3.46-3.49, 3 Tb 3.49-3.50, 2 Sm 3.50-3.65, 2 Dy 3.52
Sm: 0.1485 0.1485 0.8882  3 Tm 3.48-3.57, 4 Sm 3.49-3.63, 2 Tb 3.50-3.65, 2 Dy 3.60
Sm: 0.8515 0.8515 0.1118  3 Tm 3.48-3.57, 4 Sm 3.49-3.63, 2 Tb 3.50-3.65, 2 Dy 3.60
Dy: 0.5000 0.5000 0.0000  2 Tm 3.40, 2 Dy 3.49, 4 Tb 3.52, 4 Sm 3.60
Tm: 0.2887 0.2887 0.7010  1 Dy 3.40, 3 Tb 3.46-3.49, 3 Sm 3.48-3.57, 4 Tm 3.49
Tm: 0.7113 0.7113 0.2990  1 Dy 3.40, 3 Tb 3.46-3.49, 3 Sm 3.48-3.57, 4 Tm 3.49

***

Tb5Sm2DyTm | PBE-GGA | relaxed

Output
- calculated volume (Å³/cell) = 583.3
- calculated total energy (Ry/atom) = -0.3192
- spin magnetization (μB per formula unit) = 0.0

Unit cell a=9.9668 b=9.9668 c=9.9668 alpha=128.93 beta=128.93 gamma=75.12
Last column: nearest neighbours and their distance in Å.
Atoms (fractional coordinates):
Tb: 0.0000 0.0000 0.0000  4 Sm 3.43, 8 Tb 3.79
Tb: 0.0720 0.5720 0.9246  1 Sm 3.03, 1 Tm 3.11
Tb: 0.1474 0.0720 0.5000  1 Sm 3.03, 1 Tm 3.11
Tb: 0.3526 0.8526 0.9246  1 Sm 3.03, 1 Tm 3.11
Tb: 0.4280 0.3526 0.5000  1 Sm 3.03, 1 Tm 3.11
Tb: 0.5000 0.5000 0.0000  4 Sm 3.43, 8 Tb 3.79
Tb: 0.5720 0.6474 0.5000  1 Sm 3.03, 1 Tm 3.11
Tb: 0.6474 0.1474 0.0754  1 Sm 3.03, 1 Tm 3.11
Tb: 0.8526 0.9280 0.5000  1 Sm 3.03, 1 Tm 3.11
Tb: 0.9280 0.4280 0.0754  1 Sm 3.03, 1 Tm 3.11
Sm: 0.1182 0.3818 0.5000  1 Sm 2.87, 2 Tb 3.03
Sm: 0.3818 0.8818 0.2636  1 Sm 2.87, 2 Tb 3.03
Sm: 0.6182 0.1182 0.7364  1 Sm 2.87, 2 Tb 3.03
Sm: 0.8818 0.6182 0.5000  1 Sm 2.87, 2 Tb 3.03
Dy: 0.2500 0.2500 0.0000  10 Tb 3.53-3.95
Dy: 0.7500 0.7500 0.0000  10 Tb 3.53-3.95
Tm: 0.2500 0.7500 0.5000  4 Tb 3.11
Tm: 0.7500 0.2500 0.5000  4 Tb 3.11

***

Tb4SmDy2Tm2 | PBE-GGA | relaxed

Output
- calculated volume (Å³/cell) = 284.9
- calculated total energy (Ry/atom) = -0.3377
- spin magnetization (μB per formula unit) = 0.0

Unit cell a=9.4606 b=9.4606 c=9.5103 alpha=115.20 beta=115.20 gamma=21.80
Last column: nearest neighbours and their distance in Å.
Atoms (fractional coordinates):
Tb: 0.0185 0.0185 0.3345  5 Tb 3.50-3.58, 4 Dy 3.53-3.57, 2 Sm 3.53, 1 Tm 3.55
Tb: 0.3146 0.3146 0.6664  6 Tb 3.52-3.58, 2 Tm 3.53, 1 Sm 3.53, 3 Dy 3.54-3.58
Tb: 0.6854 0.6854 0.3336  6 Tb 3.52-3.58, 2 Tm 3.53, 1 Sm 3.53, 3 Dy 3.54-3.58
Tb: 0.9815 0.9815 0.6655  5 Tb 3.50-3.58, 4 Dy 3.53-3.57, 2 Sm 3.53, 1 Tm 3.55
Sm: 0.5000 0.5000 0.0000  6 Tb 3.53, 2 Sm 3.58, 4 Tm 3.59
Dy: 0.3516 0.3516 0.3317  3 Tm 3.50-3.51, 7 Tb 3.53-3.58, 2 Dy 3.58
Dy: 0.6484 0.6484 0.6683  3 Tm 3.50-3.51, 7 Tb 3.53-3.58, 2 Dy 3.58
Tm: 0.1679 0.1679 0.0006  3 Dy 3.50-3.51, 3 Tb 3.53-3.55, 4 Tm 3.54-3.58, 2 Sm 3.59
Tm: 0.8321 0.8321 0.9994  3 Dy 3.50-3.51, 3 Tb 3.53-3.55, 4 Tm 3.54-3.58, 2 Sm 3.59

***

Tb2Sm2DyY2 | PBE-GGA | relaxed

Output
- calculated volume (Å³/cell) = 230.2
- calculated total energy (Ry/atom) = -0.3702
- spin magnetization (μB per formula unit) = 0.0

Unit cell a=8.7928 b=8.7928 c=8.7928 alpha=37.89 beta=37.89 gamma=37.89
Last column: nearest neighbours and their distance in Å.
Atoms (fractional coordinates):
Tb: 0.2168 0.2168 0.2168  4 Y 3.46-3.50, 1 Sm 3.51, 3 Dy 3.52
Tb: 0.7832 0.7832 0.7832  4 Y 3.46-3.50, 1 Sm 3.51, 3 Dy 3.52
Sm: 0.3604 0.3604 0.3604  1 Dy 3.41, 3 Y 3.49, 1 Tb 3.51, 3 Sm 3.55
Sm: 0.6396 0.6396 0.6396  1 Dy 3.41, 3 Y 3.49, 1 Tb 3.51, 3 Sm 3.55
Dy: 0.5000 0.5000 0.5000  2 Sm 3.41, 6 Tb 3.52
Y: 0.0737 0.0737 0.0737  4 Tb 3.46-3.50, 3 Sm 3.49, 1 Y 3.60
Y: 0.9263 0.9263 0.9263  4 Tb 3.46-3.50, 3 Sm 3.49, 1 Y 3.60

***

Tb2Sm2Dy4Y | PBE-GGA | relaxed

Output
- calculated volume (Å³/cell) = 290.3
- calculated total energy (Ry/atom) = -0.3559
- spin magnetization (μB per formula unit) = 0.0

Unit cell a=9.5194 b=9.5194 c=9.5731 alpha=115.23 beta=115.23 gamma=21.80
Last column: nearest neighbours and their distance in Å.
Atoms (fractional coordinates):
Tb: 0.1476 0.1476 0.1645  7 Dy 3.52-3.60, 3 Sm 3.56-3.57, 2 Tb 3.60
Tb: 0.8524 0.8524 0.8355  7 Dy 3.52-3.60, 3 Sm 3.56-3.57, 2 Tb 3.60
Sm: 0.3337 0.3337 0.5004  3 Dy 3.56, 3 Tb 3.56-3.57, 2 Y 3.59, 4 Sm 3.60-3.61
Sm: 0.6663 0.6663 0.4996  3 Dy 3.56, 3 Tb 3.56-3.57, 2 Y 3.59, 4 Sm 3.60-3.61
Dy: 0.1855 0.1855 0.8350  3 Tb 3.52-3.60, 6 Dy 3.52-3.60, 1 Y 3.56, 2 Sm 3.56
Dy: 0.4808 0.4808 0.1649  4 Tb 3.52-3.60, 5 Dy 3.53-3.60, 1 Sm 3.56, 2 Y 3.56
Dy: 0.5192 0.5192 0.8351  4 Tb 3.52-3.60, 5 Dy 3.53-3.60, 1 Sm 3.56, 2 Y 3.56
Dy: 0.8145 0.8145 0.1650  3 Tb 3.52-3.60, 6 Dy 3.52-3.60, 1 Y 3.56, 2 Sm 3.56
Y: 0.0000 0.0000 0.5000  6 Dy 3.56, 4 Sm 3.59, 2 Y 3.60

***

TbSm5Dy2Y | PBE-GGA | relaxed

Output
- calculated volume (Å³/cell) = 608.3
- calculated total energy (Ry/atom) = -0.3473
- spin magnetization (μB per formula unit) = 0.0

Unit cell a=10.5322 b=10.5322 c=10.6158 alpha=90.00 beta=90.00 gamma=148.90
Last column: nearest neighbours and their distance in Å.
Atoms (fractional coordinates):
Tb: 0.1996 0.8004 0.5000  2 Dy 3.42-3.65, 7 Sm 3.51-3.80, 2 Y 3.63
Tb: 0.8004 0.1996 0.0000  2 Dy 3.42-3.65, 7 Sm 3.51-3.80, 2 Y 3.63
Sm: 0.0162 0.9838 0.5088  2 Y 3.27, 3 Dy 3.44-3.59
Sm: 0.2792 0.7208 0.7997  1 Y 3.07, 1 Dy 3.34, 2 Sm 3.42
Sm: 0.2986 0.7014 0.1963  4 Sm 3.42-3.81, 1 Y 3.48, 3 Tb 3.51-3.80, 3 Dy 3.52-3.80
Sm: 0.3881 0.6119 0.5122  6 Sm 3.53-3.84, 4 Dy 3.59-3.62, 1 Tb 3.83
Sm: 0.4803 0.5197 0.2304  2 Y 3.20-3.34, 2 Dy 3.51, 2 Sm 3.53
Sm: 0.5197 0.4803 0.7304  2 Y 3.20-3.34, 2 Dy 3.51, 2 Sm 3.53
Sm: 0.6119 0.3881 0.0122  6 Sm 3.53-3.84, 4 Dy 3.59-3.62, 1 Tb 3.83
Sm: 0.7014 0.2986 0.6963  4 Sm 3.42-3.81, 1 Y 3.48, 3 Tb 3.51-3.80, 3 Dy 3.52-3.80
Sm: 0.7208 0.2792 0.2997  1 Y 3.07, 1 Dy 3.34, 2 Sm 3.42
Sm: 0.9838 0.0162 0.0088  2 Y 3.27, 3 Dy 3.44-3.59
Dy: 0.1121 0.8879 0.2251  1 Tb 3.42, 7 Sm 3.47-3.80, 2 Y 3.70
Dy: 0.1147 0.8853 0.8036  9 Sm 3.34-3.71, 1 Tb 3.65
Dy: 0.8853 0.1147 0.3036  9 Sm 3.34-3.71, 1 Tb 3.65
Dy: 0.8879 0.1121 0.7251  1 Tb 3.42, 7 Sm 3.47-3.80, 2 Y 3.70
Y: 0.4095 0.5905 0.9464  5 Sm 3.07-3.34
Y: 0.5905 0.4095 0.4464  5 Sm 3.07-3.34

***

Tb3Sm2DyY6 | PBE-GGA | relaxed

Output
- calculated volume (Å³/cell) = 387.2
- calculated total energy (Ry/atom) = -0.4074
- spin magnetization (μB per formula unit) = 0.0

Unit cell a=6.1935 b=6.1935 c=11.8314 alpha=94.98 beta=94.98 gamma=119.95
Last column: nearest neighbours and their distance in Å.
Atoms (fractional coordinates):
Tb: 0.0000 0.0000 0.0000  6 Y 3.56, 6 Tb 3.58
Tb: 0.3334 0.6666 0.0000  6 Y 3.56, 6 Tb 3.57-3.58
Tb: 0.6666 0.3334 0.0000  6 Y 3.56, 6 Tb 3.57-3.58
Sm: 0.1666 0.8334 0.5000  3 Sm 3.57-3.58, 3 Dy 3.58, 6 Y 3.58
Sm: 0.8334 0.1666 0.5000  3 Sm 3.57-3.58, 3 Dy 3.58, 6 Y 3.58
Dy: 0.5000 0.5000 0.5000  6 Sm 3.58, 6 Y 3.58
Y: 0.0832 0.4162 0.2492  3 Tb 3.56, 6 Y 3.57-3.58, 2 Sm 3.58, 1 Dy 3.58
Y: 0.2510 0.2510 0.7511  3 Tb 3.56, 6 Y 3.57-3.58, 1 Dy 3.58, 2 Sm 3.58
Y: 0.4162 0.0832 0.2492  3 Tb 3.56, 6 Y 3.57-3.58, 2 Sm 3.58, 1 Dy 3.58
Y: 0.5838 0.9168 0.7508  3 Tb 3.56, 6 Y 3.57-3.58, 2 Sm 3.58, 1 Dy 3.58
Y: 0.7490 0.7490 0.2489  3 Tb 3.56, 6 Y 3.57-3.58, 1 Dy 3.58, 2 Sm 3.58
Y: 0.9168 0.5838 0.7508  3 Tb 3.56, 6 Y 3.57-3.58, 2 Sm 3.58, 1 Dy 3.58